NaHf3B after structural relaxation, computed with PBE.

Cell and atoms, written as POSCAR:
```
NaHf3B
1.0
-2.884 0.894 -3.744
-3.846 -0.868 2.756
-0.163 4.646 1.235
Hf Na B
3 1 1
Cartesian
-1.923 -0.434 1.378
-0.082 2.323 0.617
-1.442 0.447 -1.872
0.000 0.000 0.000
-3.447 2.336 0.123
```

## Properties
As for the density: 8.49 g/cm3. As for the crystal system: cubic.


NaHfB after structural relaxation, computed with PBE.

Cell and atoms, written as POSCAR:
```
NaHfB
1.0
-12.339 -5.734 0.797
2.287 -4.557 2.622
-0.486 1.456 2.955
Hf B Na
4 4 4
Cartesian
0.724 -3.037 3.492
-11.262 -5.797 2.882
-5.202 -6.632 2.413
-5.336 -2.202 3.960
0.000 0.000 0.000
-5.269 -4.417 3.187
1.143 -2.278 1.311
-6.412 -2.139 1.876
-7.946 -4.254 2.672
-2.018 -0.663 3.742
-8.520 -8.171 2.632
-2.592 -4.580 3.702
```

## Properties
As for the density: 5.42 g/cm3. As for the crystal system: orthorhombic.


NaHf3B after structural relaxation, computed with PBE.

Cell and atoms, written as POSCAR:
```
NaHf3B
1.0
4.696 0.000 0.000
0.000 4.696 0.000
0.000 0.000 4.696
Hf Na B
3 1 1
Cartesian
0.000 0.000 2.348
2.348 0.000 0.000
0.000 2.348 0.000
2.348 2.348 2.348
0.000 0.000 0.000
```

## Properties
As for the density: 9.13 g/cm3. As for the crystal system: cubic.


Na3HfB after structural relaxation, computed with PBE.

Cell and atoms, written as POSCAR:
```
Na3HfB
1.0
-3.771 -1.158 -3.056
0.874 -4.854 0.761
-3.149 0.039 3.871
Na Hf B
3 1 1
Cartesian
-1.575 0.020 1.935
0.437 -2.427 0.380
-1.886 -0.579 -1.528
-3.023 -2.986 0.788
0.000 0.000 0.000
```

## Properties
As for the density: 3.45 g/cm3. As for the crystal system: cubic.


NaHfB after structural relaxation, computed with PBE.

Cell and atoms, written as POSCAR:
```
NaHfB
1.0
7.668 0.000 0.000
0.000 4.193 0.000
0.000 0.000 6.287
Hf B Na
4 4 4
Cartesian
2.684 3.145 5.721
4.984 1.048 0.567
6.518 3.145 3.710
1.150 1.048 2.577
2.639 1.048 0.656
6.473 1.048 2.488
1.195 3.145 3.799
5.029 3.145 5.632
7.329 3.145 0.824
3.495 3.145 2.319
0.339 1.048 5.463
4.173 1.048 3.968
```

## Properties
As for the density: 6.98 g/cm3. As for the crystal system: orthorhombic.


NaHf2B2 after structural relaxation, computed with PBE.

Cell and atoms, written as POSCAR:
```
NaHf2B2
1.0
-0.252 0.608 -4.276
1.765 -3.895 -0.657
-3.876 -3.739 -2.492
Na Hf B
1 2 2
Cartesian
0.000 0.000 0.000
-0.856 -2.373 -2.475
-1.506 -4.653 -4.950
-0.677 -4.638 -2.808
-1.685 -2.387 -4.617
```

## Properties
As for the density: 7.01 g/cm3. As for the crystal system: tetragonal.


NaHfB after structural relaxation, computed with PBE.

Cell and atoms, written as POSCAR:
```
NaHfB
1.0
-1.970 -2.449 -0.552
2.951 -0.022 -1.214
3.267 -3.496 12.520
Na B Hf
2 2 2
Cartesian
1.337 -2.645 2.987
1.987 -0.270 -0.019
3.267 -3.167 7.674
2.832 -4.663 6.641
1.035 -3.172 6.440
2.607 -3.217 10.261
```

## Properties
As for the density: 6.14 g/cm3. As for the crystal system: triclinic.


NaHfB after structural relaxation, computed with PBE.

Cell and atoms, written as POSCAR:
```
NaHfB
1.0
-2.647 -3.661 -3.873
1.681 -2.422 1.141
-9.537 -2.455 8.837
B Hf Na
4 4 4
Cartesian
-3.769 -6.089 -0.807
-8.056 -4.278 4.974
-2.446 -4.259 1.130
-6.734 -2.448 6.911
-7.228 -6.237 3.974
-7.205 -4.742 7.116
-3.275 -2.300 2.130
-3.297 -3.796 -1.011
-0.942 -1.700 -0.032
-5.631 -4.397 1.150
-4.871 -4.141 4.954
-9.561 -6.838 6.137
```

## Properties
As for the density: 5.67 g/cm3. As for the crystal system: orthorhombic.


NaHfB after structural relaxation, computed with PBE.

Cell and atoms, written as POSCAR:
```
NaHfB
1.0
3.305 0.000 0.034
0.000 3.086 0.000
1.688 0.000 11.922
B Na Hf
2 2 2
Cartesian
1.692 2.315 11.518
3.301 0.772 0.438
3.282 0.772 4.361
1.711 2.315 7.595
1.638 2.315 1.396
3.355 0.772 10.560
```

## Properties
As for the density: 5.81 g/cm3. As for the crystal system: monoclinic.


NaHfB after structural relaxation, computed with PBE.

Cell and atoms, written as POSCAR:
```
NaHfB
1.0
-8.669 -4.641 1.242
1.826 -3.364 1.987
-1.104 2.235 2.183
Hf Na B
2 2 2
Cartesian
-0.228 -1.717 2.978
-7.720 -4.052 2.433
-3.628 -0.679 2.837
-4.320 -5.091 2.575
-7.097 -6.430 2.694
-0.850 0.661 2.718
```

## Properties
As for the density: 5.37 g/cm3. As for the crystal system: triclinic.


NaHfB after structural relaxation, computed with PBE.

Cell and atoms, written as POSCAR:
```
NaHfB
1.0
-2.423 1.225 1.663
1.922 -2.154 1.341
9.961 8.157 2.477
Hf B Na
2 2 2
Cartesian
8.153 5.497 4.478
6.160 3.039 3.385
5.708 5.394 4.039
6.683 5.296 2.483
0.969 -0.538 1.433
1.457 3.073 2.617
```

## Properties
As for the density: 6.31 g/cm3. As for the crystal system: triclinic.


NaHfB after structural relaxation, computed with PBE.

Cell and atoms, written as POSCAR:
```
NaHfB
1.0
-3.253 2.888 1.189
-0.809 -4.437 0.012
1.564 -0.272 4.943
B Hf Na
2 2 2
Cartesian
-2.047 0.379 2.032
-0.450 -2.199 4.111
-1.232 -2.063 1.640
-1.265 0.243 4.504
0.782 -0.136 2.471
0.000 0.000 0.000
```

## Properties
As for the density: 7.71 g/cm3. As for the crystal system: hexagonal.


The Fermi-level density of states results, record by record, are as follows: 3.01, 5.53, 9.17, 3.68, 0.00, 1.37, 4.67, 6.58, 3.62, 3.33, 7.00, 0.67 states/eV per cell.
The energy of formation from the pure elements results, record by record, are as follows: 11.79, 0.89, 1.41, 7.19, 0.72, 1.47, -0.13, 1.03, -0.78, 0.09, -0.94, 1.06 eV/f.u..
The electronic total energy results, record by record, are as follows: -5.213, -5.688, -7.289, -2.679, -5.744, -6.621, -6.026, -5.640, -6.244, -5.953, -6.296, -5.630 eV/atom.